{
  "formula": "Li6MgHg12",
  "functional": "PBE",
  "state": "optimized geometry",
  "spacegroup": "R-3, No. 148",
  "dos_ef_per_ev_atom": 0.31,
  "density_g_cm3": 10.02,
  "total_energy_ev_per_atom": -1.11,
  "crystal_system": "trigonal",
  "lattice_angstrom": [[5.364, 3.097, 4.110], [-5.364, 3.097, 4.110], [0.000, -6.194, 4.110]],
  "species": ["Li", "Li", "Li", "Li", "Li", "Li", "Mg", "Hg", "Hg", "Hg", "Hg", "Hg", "Hg", "Hg", "Hg", "Hg", "Hg", "Hg", "Hg"],
  "fractional_positions": [[0.212, 0.778, 0.382], [0.222, 0.618, 0.788], [0.382, 0.212, 0.778], [0.618, 0.788, 0.222], [0.778, 0.382, 0.212], [0.788, 0.222, 0.618], [0.500, 0.500, 0.500], [0.052, 0.298, 0.944], [0.056, 0.948, 0.702], [0.139, 0.357, 0.499], [0.298, 0.944, 0.052], [0.357, 0.499, 0.139], [0.499, 0.139, 0.357], [0.501, 0.861, 0.643], [0.643, 0.501, 0.861], [0.702, 0.056, 0.948], [0.861, 0.643, 0.501], [0.944, 0.052, 0.298], [0.948, 0.702, 0.056]]
}

=====

{
  "formula": "LiMgHg3",
  "functional": "PBE",
  "state": "optimized geometry",
  "spacegroup": "Pm-3m, No. 221",
  "dos_ef_per_ev_atom": 0.49,
  "polymorph_energy_ev_per_atom": 0.330,
  "density_g_cm3": 6.70,
  "crystal_system": "cubic",
  "lattice_angstrom": [[5.394, 0.000, 0.000], [0.000, 5.394, 0.000], [0.000, 0.000, 5.394]],
  "species": ["Li", "Mg", "Hg", "Hg", "Hg"],
  "fractional_positions": [[0.000, 0.000, 0.000], [0.500, 0.500, 0.500], [0.000, 0.500, 0.500], [0.500, 0.000, 0.500], [0.500, 0.500, 0.000]]
}

=====

{
  "formula": "Li2Mg2Hg",
  "functional": "PBE",
  "state": "optimized geometry",
  "spacegroup": "C2/m, No. 12",
  "dos_ef_per_ev_atom": 0.31,
  "polymorph_energy_ev_per_atom": 0.000,
  "density_g_cm3": 4.54,
  "crystal_system": "monoclinic",
  "lattice_angstrom": [[5.055, -2.398, 0.000], [5.055, 2.398, 0.000], [-2.393, 0.000, 7.941]],
  "species": ["Li", "Li", "Li", "Li", "Mg", "Mg", "Mg", "Mg", "Hg", "Hg"],
  "fractional_positions": [[0.035, 0.035, 0.349], [0.152, 0.152, 0.061], [0.848, 0.848, 0.939], [0.965, 0.965, 0.651], [0.338, 0.338, 0.454], [0.446, 0.446, 0.150], [0.554, 0.554, 0.850], [0.662, 0.662, 0.546], [0.248, 0.248, 0.767], [0.752, 0.752, 0.233]]
}

=====

{
  "formula": "Li3MgHg6",
  "functional": "PBE",
  "state": "optimized geometry",
  "spacegroup": "Pnnm, No. 58",
  "dos_ef_per_ev_atom": 0.22,
  "density_g_cm3": 9.50,
  "total_energy_ev_per_atom": -1.15,
  "crystal_system": "orthorhombic",
  "lattice_angstrom": [[8.069, 0.000, 0.000], [0.000, 11.320, 0.000], [0.000, 0.000, 4.780]],
  "species": ["Li", "Li", "Li", "Li", "Li", "Li", "Mg", "Mg", "Hg", "Hg", "Hg", "Hg", "Hg", "Hg", "Hg", "Hg", "Hg", "Hg", "Hg", "Hg"],
  "fractional_positions": [[0.000, 0.000, 0.000], [0.171, 0.179, 0.500], [0.329, 0.679, 0.000], [0.500, 0.500, 0.500], [0.671, 0.321, 0.000], [0.829, 0.821, 0.500], [0.000, 0.500, 0.000], [0.500, 0.000, 0.500], [0.005, 0.244, 0.000], [0.162, 0.595, 0.500], [0.164, 0.907, 0.500], [0.336, 0.407, 0.000], [0.338, 0.095, 0.000], [0.495, 0.744, 0.500], [0.505, 0.256, 0.500], [0.662, 0.905, 0.000], [0.664, 0.593, 0.000], [0.836, 0.093, 0.500], [0.838, 0.405, 0.500], [0.995, 0.756, 0.000]]
}

=====

{
  "formula": "Li8Mg3Hg",
  "functional": "PBE",
  "state": "optimized geometry",
  "spacegroup": "I-42m, No. 121",
  "dos_ef_per_ev_atom": 0.48,
  "density_g_cm3": 1.92,
  "total_energy_ev_per_atom": -1.57,
  "crystal_system": "tetragonal",
  "lattice_angstrom": [[-3.789, 3.789, 4.947], [3.789, -3.789, 4.947], [3.789, 3.789, -4.947]],
  "species": ["Li", "Li", "Li", "Li", "Li", "Li", "Li", "Li", "Mg", "Mg", "Mg", "Hg"],
  "fractional_positions": [[0.136, 0.136, 0.739], [0.235, 0.716, 0.000], [0.284, 0.284, 0.519], [0.397, 0.397, 0.261], [0.603, 0.864, 0.000], [0.716, 0.235, 0.000], [0.765, 0.765, 0.481], [0.864, 0.603, 0.000], [0.000, 0.000, 0.000], [0.250, 0.750, 0.500], [0.750, 0.250, 0.500], [0.500, 0.500, 0.000]]
}

=====

{
  "formula": "Li2MgHg2",
  "functional": "PBE",
  "state": "optimized geometry",
  "spacegroup": "P4/mbm, No. 127",
  "dos_ef_per_ev_atom": 0.32,
  "polymorph_energy_ev_per_atom": 0.023,
  "density_g_cm3": 7.72,
  "crystal_system": "tetragonal",
  "lattice_angstrom": [[7.579, 0.000, 0.000], [0.000, 7.579, 0.000], [0.000, 0.000, 3.290]],
  "species": ["Li", "Li", "Li", "Li", "Mg", "Mg", "Hg", "Hg", "Hg", "Hg"],
  "fractional_positions": [[0.128, 0.372, 0.000], [0.372, 0.872, 0.000], [0.628, 0.128, 0.000], [0.872, 0.628, 0.000], [0.000, 0.000, 0.000], [0.500, 0.500, 0.000], [0.168, 0.668, 0.500], [0.332, 0.168, 0.500], [0.668, 0.832, 0.500], [0.832, 0.332, 0.500]]
}